1.
Density functional theory data (PBE-GGA) for a geometry-optimized La4Hg3Sb structure.

Properties
The total magnetization is 0.0296 μB per atom. Its crystal system is tetragonal. The value obtained for the raw formation energy is -5.2 eV per formula unit. As for the symmetry: I4/mmm, No. 139.

```
8
Lattice="-2.739 2.739 8.010 2.739 -2.739 8.010 2.739 2.739 -8.010" Properties=species:S:1:pos:R:3 pbc="T T T"
La 2.739 0.000 1.986
La 2.739 0.000 6.024
La 0.000 2.739 1.986
La 0.000 2.739 6.024
Hg 0.000 0.000 0.000
Hg 0.000 0.000 3.898
Hg 0.000 0.000 12.121
Sb 0.000 0.000 8.010
```


2.
Density functional theory data (PBE-GGA) for a geometry-optimized LaHgSb2 structure.

Properties
The total magnetization is 0.0000 μB per atom. Its crystal system is tetragonal. The value obtained for the raw formation energy is -1.8 eV per formula unit. As for the symmetry: P4mm, No. 99.

```
4
Lattice="4.243 0.000 0.000 0.000 4.243 0.000 0.000 0.000 6.524" Properties=species:S:1:pos:R:3 pbc="T T T"
La 0.000 0.000 0.000
Hg 2.121 2.121 4.531
Sb 0.000 0.000 3.307
Sb 2.121 2.121 1.203
```


3.
Density functional theory data (PBE-GGA) for a geometry-optimized La2Hg2Sb structure.

Properties
The total magnetization is 0.0000 μB per atom. Its crystal system is tetragonal. The value obtained for the raw formation energy is -2.9 eV per formula unit. As for the symmetry: P4/mbm, No. 127. The distance to the lowest polymorph of the same formula comes out at 72 meV/atom.

```
10
Lattice="8.053 0.000 0.000 0.000 8.053 0.000 0.000 0.000 4.597" Properties=species:S:1:pos:R:3 pbc="T T T"
La 1.381 2.645 0.000
La 2.645 6.672 0.000
La 5.407 1.381 0.000
La 6.672 5.407 0.000
Hg 1.032 5.058 2.298
Hg 2.994 1.032 2.298
Hg 5.058 7.021 2.298
Hg 7.021 2.994 2.298
Sb 0.000 0.000 2.298
Sb 4.026 4.026 2.298
```